Record 1
GdHoEr, relaxed, DFT PBE; SG = P3m1 (156); formation energy from the elements = 0.02 eV per atom; mass density = 8.654 Mg/m³; total moment = 7.3 Bohr magnetons per cell
1.0
-1.959 2.800 -0.926
-0.487 -3.113 -1.615
-5.900 -2.162 5.946
Gd Ho Er
1 1 1
Cartesian
-3.438 0.107 0.829 Gd
-5.882 -2.155 5.927 Ho
-4.927 -2.589 2.594 Er


Record 2
BeHN3, relaxed, DFT PBE; SG = Pm-3m (221); mass density = 2.286 Mg/m³; total energy = -20.79 eV per cell; total moment = 0.0 Bohr magnetons per cell
1.0
-0.553 0.683 -3.239
2.011 -2.539 -0.879
-2.629 -2.086 0.010
H N Be
1 3 1
Cartesian
-0.586 -1.971 -2.054 H
-1.315 -1.043 0.005 N
1.006 -1.270 -0.439 N
-0.277 0.341 -1.620 N
0.000 0.000 0.000 Be


Record 3
LiAlAsBr2, relaxed, DFT PBE; SG = P4/mmm (123); excess energy over the best structure of this formula in the dataset = 0.0000 eV per atom; mass density = 3.234 Mg/m³; total moment = 1.1 Bohr magnetons per cell
1.0
-1.442 3.425 -3.810
-1.433 -4.069 -3.116
-4.501 0.166 1.853
Br Li Al As
2 1 1 1
Cartesian
-0.721 1.712 -1.905 Br
-0.717 -2.035 -1.558 Br
-3.688 -0.239 -2.536 Li
0.000 0.000 0.000 Al
-2.251 0.083 0.927 As


Record 4
KHf, relaxed, DFT PBE; SG = I4/m (87); excess energy over the best structure of this formula in the dataset = 0.0699 eV per atom; formation energy from the elements = 0.58 eV per atom; mass density = 4.682 Mg/m³; total moment = 0.0 Bohr magnetons per cell
1.0
-9.418 -8.336 -5.611
2.485 -9.383 9.770
-2.301 1.340 1.872
K Hf
8 8
Cartesian
-6.204 -7.518 0.583 K
-1.388 -2.632 0.178 K
-3.030 -8.862 5.448 K
0.897 -8.711 7.338 K
-7.831 -9.008 -3.179 K
-5.545 -15.087 3.981 K
-6.005 -10.822 3.193 K
-3.229 -5.557 2.837 K
-4.179 -12.299 6.495 Hf
-8.413 -10.902 0.290 Hf
-5.055 -4.080 -0.465 Hf
-7.372 -13.610 0.679 Hf
-5.622 -5.624 -2.886 Hf
0.438 -4.109 3.480 Hf
-0.821 -5.477 5.740 Hf
-1.311 -12.096 7.045 Hf


Record 5
TbNdV4, relaxed, DFT PBE; SG = F-43m (216); formation energy from the elements = 0.40 eV per atom; mass density = 7.507 Mg/m³; total moment = 0.0 Bohr magnetons per cell
1.0
-5.017 -1.846 0.850
-1.707 -0.973 5.043
-3.719 3.215 2.266
V Nd Tb
4 1 1
Cartesian
-6.576 0.249 5.138 V
-4.646 -1.419 3.963 V
-5.690 0.754 2.522 V
-3.973 1.207 4.697 V
-2.611 0.099 2.040 Nd
0.000 0.000 0.000 Tb


Record 6
Nd2Ga2Pd, relaxed, DFT PBE; SG = C2/m (12); formation energy from the elements = -0.71 eV per atom; mass density = 7.576 Mg/m³; total moment = 0.0 Bohr magnetons per cell
1.0
4.520 0.000 0.000
2.260 5.339 -0.293
2.260 0.329 9.688
Nd Ga Pd
4 4 2
Cartesian
4.520 3.943 6.286 Nd
2.260 3.946 0.916 Nd
6.780 1.722 8.480 Nd
4.520 1.726 3.109 Nd
2.260 1.646 5.328 Ga
6.780 4.840 8.366 Ga
2.260 0.828 1.029 Ga
6.780 4.022 4.067 Ga
4.520 4.869 3.089 Pd
4.520 0.799 6.306 Pd